[1]
Crystalline NbHgCl2 at its relaxed geometry. Source: the Alexandria database, functional PBE.

a b c (Å): 7.521 7.521 19.717
angles (deg): 97.54 97.54 90.34
Element x y z (fractional)
Nb (0.052, 0.797, 0.799)
Nb (0.053, 0.163, 0.799)
Nb (0.163, 0.053, 0.299)
Nb (0.203, 0.948, 0.701)
Nb (0.797, 0.052, 0.299)
Nb (0.837, 0.947, 0.701)
Nb (0.947, 0.837, 0.201)
Nb (0.948, 0.203, 0.201)
Hg (0.120, 0.591, 0.440)
Hg (0.375, 0.404, 0.055)
Hg (0.404, 0.375, 0.555)
Hg (0.409, 0.880, 0.060)
Hg (0.591, 0.120, 0.940)
Hg (0.596, 0.625, 0.445)
Hg (0.625, 0.596, 0.945)
Hg (0.880, 0.409, 0.560)
Cl (0.015, 0.083, 0.404)
Cl (0.077, 0.504, 0.865)
Cl (0.083, 0.015, 0.904)
Cl (0.244, 0.756, 0.250)
Cl (0.247, 0.318, 0.250)
Cl (0.317, 0.683, 0.750)
Cl (0.318, 0.247, 0.750)
Cl (0.496, 0.923, 0.635)
Cl (0.504, 0.077, 0.365)
Cl (0.682, 0.753, 0.250)
Cl (0.683, 0.317, 0.250)
Cl (0.753, 0.682, 0.750)
Cl (0.756, 0.244, 0.750)
Cl (0.917, 0.985, 0.096)
Cl (0.923, 0.496, 0.135)
Cl (0.985, 0.917, 0.596)

Properties
Space-group type   C2/c (15)
Formation energy from raw total energies   -718 meV/atom
Excess energy over the best structure of this formula in the dataset   0.000 eV/atom
DFT total energy   -0.311 Ry/atom


[2]
Crystalline SrCd3Sb at its relaxed geometry. Source: the Alexandria database, functional PBE.

a b c (Å): 6.148 6.148 6.148
angles (deg): 90.00 90.00 90.00
Element x y z (fractional)
Sr (0.000, 0.000, 0.000)
Cd (0.000, 0.000, 0.500)
Cd (0.000, 0.500, 0.000)
Cd (0.500, 0.000, 0.000)
Sb (0.500, 0.500, 0.500)

Properties
Space-group type   Pm-3m (221)
Formation energy from raw total energies   762 meV/atom
Excess energy over the best structure of this formula in the dataset   0.629 eV/atom
DFT total energy   -0.070 Ry/atom
DOS at the Fermi energy   1.274 states/eV/atom


[3]
Crystalline IrCSeN2 at its relaxed geometry. Source: the Alexandria database, functional PBE.

a b c (Å): 3.697 3.697 5.594
angles (deg): 90.00 90.00 90.00
Element x y z (fractional)
Ir (0.000, 0.000, 0.000)
C (0.500, 0.500, 0.500)
Se (0.000, 0.000, 0.500)
N (0.000, 0.500, 0.000)
N (0.500, 0.000, 0.000)

Properties
Space-group type   P4/mmm (123)
Formation energy from raw total energies   1875 meV/atom
Excess energy over the best structure of this formula in the dataset   0.000 eV/atom
DFT total energy   -0.424 Ry/atom
DOS at the Fermi energy   0.864 states/eV/atom


[4]
Crystalline HfHg at its relaxed geometry. Source: the Alexandria database, functional PBE.

a b c (Å): 3.278 4.411 6.253
angles (deg): 90.00 105.06 90.00
Element x y z (fractional)
Hf (0.181, 0.250, 0.360)
Hf (0.819, 0.750, 0.640)
Hg (0.424, 0.250, 0.851)
Hg (0.576, 0.750, 0.149)

Properties
Space-group type   P2_1/m (11)
DFT formation energy   0.0 eV per formula unit
DFT total energy   -0.377 Ry/atom
DOS at the Fermi energy   0.750 states/eV/atom


[5]
Crystalline Nd3P at its relaxed geometry. Source: the Alexandria database, functional PBE.

a b c (Å): 3.751 3.810 9.236
angles (deg): 90.00 90.00 90.00
Element x y z (fractional)
Nd (0.000, 0.000, 0.000)
Nd (0.000, 0.500, 0.362)
Nd (0.500, 0.500, 0.711)
P (0.500, 0.000, 0.242)

Properties
Space-group type   Pmm2 (25)
DFT formation energy   -1.7 eV per formula unit
Excess energy over the best structure of this formula in the dataset   0.167 eV/atom
DFT total energy   -0.394 Ry/atom
DOS at the Fermi energy   1.242 states/eV/atom


[6]
Crystalline ZrSc2C at its relaxed geometry. Source: the Alexandria database, functional PBE.

a b c (Å): 6.280 6.280 6.280
angles (deg): 97.61 97.61 137.31
Element x y z (fractional)
Zr (0.000, 0.000, 0.000)
Zr (0.750, 0.250, 0.500)
Sc (0.257, 0.125, 0.632)
Sc (0.375, 0.743, 0.868)
Sc (0.493, 0.625, 0.368)
Sc (0.875, 0.507, 0.132)
C (0.250, 0.750, 0.500)
C (0.500, 0.500, 0.000)

Properties
Space-group type   I-42d (122)
DFT formation energy   0.3 eV per formula unit
DFT total energy   -0.555 Ry/atom
DOS at the Fermi energy   0.865 states/eV/atom


[7]
Crystalline Sb2RuRh at its relaxed geometry. Source: the Alexandria database, functional PBE.

a b c (Å): 3.168 3.168 8.041
angles (deg): 90.00 90.00 90.00
Element x y z (fractional)
Sb (0.000, 0.000, 0.000)
Sb (0.500, 0.500, 0.396)
Ru (0.500, 0.500, 0.809)
Rh (0.000, 0.000, 0.587)

Properties
Space-group type   P4mm (99)
Formation energy from raw total energies   -19 meV/atom
Excess energy over the best structure of this formula in the dataset   0.143 eV/atom
DFT total energy   -0.458 Ry/atom
DOS at the Fermi energy   1.093 states/eV/atom


[8]
Crystalline CaIrI3 at its relaxed geometry. Source: the Alexandria database, functional PBE.

a b c (Å): 5.455 5.455 5.455
angles (deg): 90.00 90.00 90.00
Element x y z (fractional)
Ca (0.000, 0.000, 0.000)
Ir (0.500, 0.500, 0.500)
I (0.000, 0.500, 0.500)
I (0.500, 0.000, 0.500)
I (0.500, 0.500, 0.000)

Properties
Space-group type   Pm-3m (221)
Formation energy from raw total energies   -242 meV/atom
Excess energy over the best structure of this formula in the dataset   0.000 eV/atom
DFT total energy   -0.246 Ry/atom
DOS at the Fermi energy   0.327 states/eV/atom


> What is the formula in the first record?

NbHgCl2